# 1
Entry from Alexandria via LeMat-Bulk: a relaxed RbSr2ZnPd crystal (PBE).

Size of the total moment in Bohr magnetons per cell: 0.00
SG: P4/mmm (123)
Energy of formation in eV per atom: -0.145

abc: 6.031 6.031 5.249
angles: 90.00 90.00 90.00
Sites, in units of the cell vectors:
Sr1 0.000 0.500 0.000
Sr2 0.500 0.000 0.000
Zn1 0.000 0.000 0.500
Rb1 0.500 0.500 0.500
Pd1 0.000 0.000 0.000

---

# 2
Entry from Alexandria via LeMat-Bulk: a relaxed SrLiIn11 crystal (PBE).

Size of the total moment in Bohr magnetons per cell: 0.00
SG: C2/m (12)
Energy of formation in eV per atom: -0.115

abc: 6.097 7.983 8.234
angles: 83.54 68.27 72.31
Sites, in units of the cell vectors:
Sr1 0.000 0.000 0.000
Li1 0.500 0.500 0.000
In1 0.298 0.215 0.206
In2 0.702 0.785 0.794
In3 0.496 0.785 0.206
In4 0.504 0.215 0.794
In5 0.365 0.634 0.653
In6 0.635 0.366 0.347
In7 0.982 0.366 0.653
In8 0.018 0.634 0.347
In9 0.000 0.500 0.000
In10 0.500 0.000 0.500
In11 0.000 0.000 0.500

---

# 3
Entry from Alexandria via LeMat-Bulk: a relaxed TaMoS2Cl crystal (PBE).

Size of the total moment in Bohr magnetons per cell: 4.40
SG: P4/mmm (123)
Formation energy without anion corrections in eV/f.u.: 3.71
Polymorph energy (0 for the lowest one) in eV/atom: 0.444

abc: 4.719 4.719 4.673
angles: 90.00 90.00 90.00
Sites, in units of the cell vectors:
Mo1 0.000 0.000 0.000
Cl1 0.000 0.000 0.500
S1 0.000 0.500 0.000
S2 0.500 0.000 0.000
Ta1 0.500 0.500 0.500

---

# 4
Entry from Alexandria via LeMat-Bulk: a relaxed TbNd6Dy2Ho crystal (PBE).

Size of the total moment in Bohr magnetons per cell: 0.00
SG: C2/c (15)
Energy of formation in eV per atom: 0.116

abc: 9.669 8.963 8.963
angles: 117.76 93.87 93.87
Sites, in units of the cell vectors:
Tb1 0.250 0.973 0.027
Tb2 0.750 0.027 0.973
Nd1 0.054 0.117 0.761
Nd2 0.446 0.239 0.883
Nd3 0.946 0.883 0.239
Nd4 0.554 0.761 0.117
Nd5 0.312 0.990 0.435
Nd6 0.188 0.565 0.010
Nd7 0.688 0.010 0.565
Nd8 0.812 0.435 0.990
Nd9 0.118 0.708 0.490
Nd10 0.382 0.510 0.292
Nd11 0.882 0.292 0.510
Nd12 0.618 0.490 0.708
Dy1 0.454 0.800 0.702
Dy2 0.046 0.298 0.200
Dy3 0.546 0.200 0.298
Dy4 0.954 0.702 0.800
Ho1 0.250 0.411 0.589
Ho2 0.750 0.589 0.411

---

# 5
Entry from Alexandria via LeMat-Bulk: a relaxed PrHoPu crystal (PBE).

Size of the total moment in Bohr magnetons per cell: 6.16
SG: I4mm (107)
Energy of formation in eV per atom: 0.129
Polymorph energy (0 for the lowest one) in eV/atom: 0.000

abc: 3.554 3.554 7.903
angles: 102.99 102.99 90.00
Sites, in units of the cell vectors:
Pr1 0.335 0.335 0.671
Ho1 0.662 0.662 0.324
Pu1 0.003 0.003 0.005

---

# 6
Entry from Alexandria via LeMat-Bulk: a relaxed NbAs2PtSe crystal (PBE).

Size of the total moment in Bohr magnetons per cell: 0.00
SG: P4/mmm (123)
Formation energy without anion corrections in eV/f.u.: 4.11
Polymorph energy (0 for the lowest one) in eV/atom: 0.180

abc: 4.787 4.787 4.952
angles: 90.00 90.00 90.00
Sites, in units of the cell vectors:
As1 0.000 0.500 0.000
As2 0.500 0.000 0.000
Nb1 0.500 0.500 0.500
Se1 0.000 0.000 0.500
Pt1 0.000 0.000 0.000

---

# 7
Entry from Alexandria via LeMat-Bulk: a relaxed AcPm3H crystal (PBE).

Size of the total moment in Bohr magnetons per cell: 0.00
SG: Pm-3m (221)
Total energy in eV/atom: -4.50

abc: 5.236 5.236 5.236
angles: 90.00 90.00 90.00
Sites, in units of the cell vectors:
H1 0.000 0.000 0.000
Ac1 0.500 0.500 0.500
Pm1 0.000 0.500 0.000
Pm2 0.000 0.000 0.500
Pm3 0.500 0.000 0.000

---

# 8
Entry from Alexandria via LeMat-Bulk: a relaxed Fe2BiH crystal (PBE).

Size of the total moment in Bohr magnetons per cell: 0.00
SG: Fm-3m (225)
Polymorph energy (0 for the lowest one) in eV/atom: 0.834

abc: 4.207 4.207 4.207
angles: 60.00 60.00 60.00
Sites, in units of the cell vectors:
H1 0.000 0.000 0.000
Bi1 0.500 0.500 0.500
Fe1 0.250 0.250 0.250
Fe2 0.750 0.750 0.750